# 1
Computed, not measured: KCr2Cd at its PBEsol-relaxed geometry at the SCAN level of DFT.

Results
DOS at the Fermi energy = 2.2 states/eV/f.u.
Total moment = 0.7 μB per cell
ΔH_f (0 K) = 0.363 eV per atom

abc: 3.082 3.082 8.528
angles: 90.00 90.00 90.00
Space group P4mm (No. 99)
Asymmetric unit:
K 0.000 0.000 0.000 [1 per cell]
Cr 0.000 0.000 0.438 [1 per cell]
Cr 0.500 0.500 0.323 [1 per cell]
Cd 0.500 0.500 0.662 [1 per cell]



# 2
Computed, not measured: K2CrCdSe at its PBEsol-relaxed geometry at the SCAN level of DFT.

Results
Formation energy from raw total energies = -0.26 eV/atom
DOS at the Fermi energy = 2.0 states/eV/f.u.
Total moment = 4.1 μB per cell

abc: 6.278 6.278 4.745
angles: 90.00 90.00 90.00
Space group P4/mmm (No. 123)
Asymmetric unit:
K 0.000 0.500 0.000 [2 per cell]
Cr 0.000 0.000 0.500 [1 per cell]
Cd 0.500 0.500 0.500 [1 per cell]
Se 0.000 0.000 0.000 [1 per cell]



# 3
Computed, not measured: K2ZrCrCd at its PBEsol-relaxed geometry at the SCAN level of DFT.

Results
DOS at the Fermi energy = 4.8 states/eV/f.u.
Total moment = 7.4 μB per cell
ΔH_f (0 K) = 1.135 eV per atom

abc: 6.005 6.005 5.526
angles: 90.00 90.00 90.00
Space group P4/mmm (No. 123)
Asymmetric unit:
K 0.000 0.500 0.000 [2 per cell]
Zr 0.000 0.000 0.500 [1 per cell]
Cr 0.500 0.500 0.500 [1 per cell]
Cd 0.000 0.000 0.000 [1 per cell]



# 4
Computed, not measured: LaCrCd2 at its PBEsol-relaxed geometry at the SCAN level of DFT.

Results
DOS at the Fermi energy = 3.0 states/eV/f.u.
Total moment = 3.7 μB per cell
ΔH_f (0 K) = 0.018 eV per atom

abc: 3.346 3.346 7.959
angles: 90.00 90.00 90.00
Space group P4mm (No. 99)
Asymmetric unit:
La 0.000 0.000 0.000 [1 per cell]
Cr 0.500 0.500 0.738 [1 per cell]
Cd 0.000 0.000 0.546 [1 per cell]
Cd 0.500 0.500 0.312 [1 per cell]



# 5
Computed, not measured: LaCrCd2 at its PBEsol-relaxed geometry at the SCAN level of DFT.

Results
DOS at the Fermi energy = 1.5 states/eV/f.u.
Total moment = 9.3 μB per cell
ΔH_f (0 K) = -0.168 eV per atom

abc: 5.105 5.105 7.165
angles: 90.00 90.00 90.00
Space group I4/mmm (No. 139)
Asymmetric unit:
La 0.000 0.000 0.000 [2 per cell]
Cr 0.000 0.000 0.500 [2 per cell]
Cd 0.000 0.500 0.250 [4 per cell]



# 6
Computed, not measured: LaCrCd2 at its PBEsol-relaxed geometry at the SCAN level of DFT.

Results
DOS at the Fermi energy = 3.0 states/eV/f.u.
Total moment = 12.7 μB per cell
ΔH_f (0 K) = 0.172 eV per atom

abc: 3.1914 3.1914 30.4948
angles: 90.00 90.00 120.00
Space group R-3m (No. 166, hexagonal axes)
Asymmetric unit:
La 0.0000 0.0000 0.0000 [3 per cell]
Cr 0.0000 0.0000 0.5000 [3 per cell]
Cd 0.0000 0.0000 0.2387 [6 per cell]



# 7
Computed, not measured: LaCrCd at its PBEsol-relaxed geometry at the SCAN level of DFT.

Results
DOS at the Fermi energy = 3.5 states/eV/f.u.
Total moment = 17.2 μB per cell
ΔH_f (0 K) = 0.572 eV per atom

abc: 7.084 7.084 7.084
angles: 90.00 90.00 90.00
Space group F-43m (No. 216)
Asymmetric unit:
La 0.000 0.000 0.000 [4 per cell]
Cr 0.250 0.250 0.750 [4 per cell]
Cd 0.250 0.250 0.250 [4 per cell]



# 8
Computed, not measured: LaCrCdOs2 at its PBEsol-relaxed geometry at the SCAN level of DFT.

Results
DOS at the Fermi energy = 4.8 states/eV/f.u.
Total moment = 3.3 μB per cell
ΔH_f (0 K) = 1.451 eV per atom

abc: 4.917 4.917 4.680
angles: 90.00 90.00 90.00
Space group P4/mmm (No. 123)
Asymmetric unit:
La 0.000 0.000 0.000 [1 per cell]
Cr 0.500 0.500 0.000 [1 per cell]
Cd 0.500 0.500 0.500 [1 per cell]
Os 0.000 0.500 0.500 [2 per cell]



Please write out number 7 again, unchanged.
Computed, not measured: LaCrCd at its PBEsol-relaxed geometry at the SCAN level of DFT.

Results
DOS at the Fermi energy = 3.5 states/eV/f.u.
Total moment = 17.2 μB per cell
ΔH_f (0 K) = 0.572 eV per atom

abc: 7.084 7.084 7.084
angles: 90.00 90.00 90.00
Space group F-43m (No. 216)
Asymmetric unit:
La 0.000 0.000 0.000 [4 per cell]
Cr 0.250 0.250 0.750 [4 per cell]
Cd 0.250 0.250 0.250 [4 per cell]



Q: total moment of number 6 (LaCrCd2)?
A: 12.7 μB per cell



What did the sixth record say?
Computed, not measured: LaCrCd2 at its PBEsol-relaxed geometry at the SCAN level of DFT.

Results
DOS at the Fermi energy = 3.0 states/eV/f.u.
Total moment = 12.7 μB per cell
ΔH_f (0 K) = 0.172 eV per atom

abc: 3.1914 3.1914 30.4948
angles: 90.00 90.00 120.00
Space group R-3m (No. 166, hexagonal axes)
Asymmetric unit:
La 0.0000 0.0000 0.0000 [3 per cell]
Cr 0.0000 0.0000 0.5000 [3 per cell]
Cd 0.0000 0.0000 0.2387 [6 per cell]